Record 1
Below is a geometry-optimized Cs3Cd2PbI9 structure, with properties calculated at the PBE-GGA level.

Output
The final energy is -2.427 eV/atom. The total magnetization is 0.00 μB per formula unit. As for the energy relative to the elements, uncorrected: -1385 kJ/mol of formula units.

Structure (POSCAR):
```
Cs3Cd2PbI9
1.0
8.6795 0.0000 0.0000
-4.3397 7.5166 0.0000
0.0000 0.0000 10.6476
I Cd Pb Cs
9 2 1 3
direct
0.5000 0.0000 0.0000
0.1716 0.8284 0.3258
0.0000 0.5000 0.0000
0.8284 0.6567 0.6742
0.5000 0.5000 0.0000
0.3433 0.1716 0.6742
0.8284 0.1716 0.6742
0.1716 0.3433 0.3258
0.6567 0.8284 0.3258
0.6667 0.3333 0.8406
0.3333 0.6667 0.1594
0.0000 0.0000 0.5000
0.3333 0.6667 0.6722
0.6667 0.3333 0.3278
0.0000 0.0000 0.0000
```

Record 2
Below is a geometry-optimized SmThTe2S structure, with properties calculated at the PBE-GGA level.

Output
For the density of states at the Fermi level, the calculation gives 4.0 states/eV/cell. The final energy is -5.886 eV/atom. The total magnetization is 0.00 μB per formula unit. As for the energy relative to the elements, uncorrected: -664 kJ/mol of formula units.

Structure (POSCAR):
```
SmThTe2S
1.0
-0.4710 -4.2246 1.4865
1.2784 -1.5593 -4.0265
14.8303 0.0030 4.7075
S Th Sm Te
2 2 2 4
direct
0.0000 0.0000 0.5000
0.5000 0.5000 0.5000
0.0000 0.5000 0.8989
0.5000 0.0000 0.1011
0.0000 0.5000 0.4010
0.5000 0.0000 0.5990
0.0000 0.5000 0.1122
0.0000 0.5000 0.7046
0.5000 0.0000 0.2954
0.5000 0.0000 0.8878
```